No. 1
VASP calculation (GGA-PBE) on an optimized crystal structure of ZnTcIr2. Values from VASP.

Computed properties:
The value obtained for the formation energy is -4 meV/atom. As for the space-group type: I-4m2 (119).

The structure in Quantum ESPRESSO input format:
```
&SYSTEM
  ibrav = 0, nat = 4, ntyp = 3
/
ATOMIC_SPECIES
Zn 65.41 Zn.upf
Tc 98.00 Tc.upf
Ir 192.22 Ir.upf
ATOMIC_POSITIONS crystal
Zn 0.000 0.000 0.000
Tc 0.750 0.250 0.500
Ir 0.250 0.750 0.500
Ir 0.500 0.500 0.000
CELL_PARAMETERS angstrom
-1.898 1.898 3.991
1.898 -1.898 3.991
1.898 1.898 -3.991
```


No. 2
VASP calculation (GGA-PBE) on an optimized crystal structure of ZnTc2Ir. Values from VASP.

Computed properties:
The value obtained for the formation energy is -22 meV/atom. As for the space-group type: Pmmm (47).

The structure in Quantum ESPRESSO input format:
```
&SYSTEM
  ibrav = 0, nat = 4, ntyp = 3
/
ATOMIC_SPECIES
Zn 65.41 Zn.upf
Tc 98.00 Tc.upf
Ir 192.22 Ir.upf
ATOMIC_POSITIONS crystal
Zn 0.000 0.000 0.000
Tc 0.500 0.500 0.234
Tc 0.500 0.500 0.766
Ir 0.000 0.000 0.500
CELL_PARAMETERS angstrom
2.758 0.000 0.000
0.000 4.052 0.000
0.000 0.000 5.140
```


No. 3
VASP calculation (GGA-PBE) on an optimized crystal structure of Zn2TcIr. Values from VASP.

Computed properties:
The value obtained for the formation energy is 100 meV/atom. As for the space-group type: Fm-3m (225). The value obtained for the energy above the most stable polymorph in this dataset is 227.9 meV per atom.

The structure in Quantum ESPRESSO input format:
```
&SYSTEM
  ibrav = 0, nat = 4, ntyp = 3
/
ATOMIC_SPECIES
Zn 65.41 Zn.upf
Tc 98.00 Tc.upf
Ir 192.22 Ir.upf
ATOMIC_POSITIONS crystal
Zn 0.250 0.250 0.250
Zn 0.750 0.750 0.750
Tc 0.000 0.000 0.000
Ir 0.500 0.500 0.500
CELL_PARAMETERS angstrom
0.000 3.057 3.057
3.057 0.000 3.057
3.057 3.057 0.000
```


No. 4
VASP calculation (GGA-PBE) on an optimized crystal structure of ZnTc2Ir. Values from VASP.

Computed properties:
The value obtained for the formation energy is 100 meV/atom. As for the space-group type: P2/m (10).

The structure in Quantum ESPRESSO input format:
```
&SYSTEM
  ibrav = 0, nat = 4, ntyp = 3
/
ATOMIC_SPECIES
Zn 65.41 Zn.upf
Tc 98.00 Tc.upf
Ir 192.22 Ir.upf
ATOMIC_POSITIONS crystal
Zn 0.000 0.000 0.000
Tc 0.000 0.500 0.500
Tc 0.500 0.000 0.500
Ir 0.500 0.500 0.000
CELL_PARAMETERS angstrom
4.628 0.000 0.000
0.000 2.745 0.000
-1.581 0.000 4.554
```


No. 5
VASP calculation (GGA-PBE) on an optimized crystal structure of ZnTcIr. Values from VASP.

Computed properties:
The value obtained for the formation energy is -129 meV/atom. As for the space-group type: I4mm (107). The value obtained for the energy above the most stable polymorph in this dataset is 28.7 meV per atom.

The structure in Quantum ESPRESSO input format:
```
&SYSTEM
  ibrav = 0, nat = 3, ntyp = 3
/
ATOMIC_SPECIES
Zn 65.41 Zn.upf
Tc 98.00 Tc.upf
Ir 192.22 Ir.upf
ATOMIC_POSITIONS crystal
Zn 0.000 0.000 0.000
Tc 0.326 0.326 0.000
Ir 0.670 0.670 0.000
CELL_PARAMETERS angstrom
-1.391 1.391 5.594
1.391 -1.391 5.594
1.391 1.391 -5.594
```


No. 6
VASP calculation (GGA-PBE) on an optimized crystal structure of Zn2TcIr. Values from VASP.

Computed properties:
The value obtained for the formation energy is 61 meV/atom. As for the space-group type: Pmmm (47). The value obtained for the energy above the most stable polymorph in this dataset is 189.8 meV per atom.

The structure in Quantum ESPRESSO input format:
```
&SYSTEM
  ibrav = 0, nat = 4, ntyp = 3
/
ATOMIC_SPECIES
Zn 65.41 Zn.upf
Tc 98.00 Tc.upf
Ir 192.22 Ir.upf
ATOMIC_POSITIONS crystal
Zn 0.000 0.000 0.000
Zn 0.500 0.000 0.500
Tc 0.000 0.500 0.500
Ir 0.500 0.500 0.000
CELL_PARAMETERS angstrom
2.799 0.000 0.000
0.000 4.462 0.000
0.000 0.000 4.664
```


No. 7
VASP calculation (GGA-PBE) on an optimized crystal structure of Zn2TcIr. Values from VASP.

Computed properties:
The value obtained for the formation energy is -128 meV/atom. As for the space-group type: P4mm (99). The value obtained for the energy above the most stable polymorph in this dataset is 0.0 meV per atom.

The structure in Quantum ESPRESSO input format:
```
&SYSTEM
  ibrav = 0, nat = 4, ntyp = 3
/
ATOMIC_SPECIES
Zn 65.41 Zn.upf
Tc 98.00 Tc.upf
Ir 192.22 Ir.upf
ATOMIC_POSITIONS crystal
Zn 0.000 0.000 0.000
Zn 0.500 0.500 0.260
Tc 0.500 0.500 0.746
Ir 0.000 0.000 0.510
CELL_PARAMETERS angstrom
2.799 0.000 0.000
0.000 2.799 0.000
0.000 0.000 7.392
```


No. 8
VASP calculation (GGA-PBE) on an optimized crystal structure of Zn2TcIr. Values from VASP.

Computed properties:
The value obtained for the formation energy is 114 meV/atom. As for the space-group type: Cmm2 (35). The value obtained for the energy above the most stable polymorph in this dataset is 242.2 meV per atom.

The structure in Quantum ESPRESSO input format:
```
&SYSTEM
  ibrav = 0, nat = 4, ntyp = 3
/
ATOMIC_SPECIES
Zn 65.41 Zn.upf
Tc 98.00 Tc.upf
Ir 192.22 Ir.upf
ATOMIC_POSITIONS crystal
Zn 0.000 0.000 0.000
Zn 0.500 0.500 0.251
Tc 0.500 0.500 0.748
Ir 0.000 0.000 0.499
CELL_PARAMETERS angstrom
1.398 -2.341 0.000
1.398 2.341 0.000
0.000 0.000 9.013
```


No. 9
VASP calculation (GGA-PBE) on an optimized crystal structure of ZnTcIr. Values from VASP.

Computed properties:
The value obtained for the formation energy is 27 meV/atom. As for the space-group type: P-6m2 (187). The value obtained for the energy above the most stable polymorph in this dataset is 185.3 meV per atom.

The structure in Quantum ESPRESSO input format:
```
&SYSTEM
  ibrav = 0, nat = 3, ntyp = 3
/
ATOMIC_SPECIES
Zn 65.41 Zn.upf
Tc 98.00 Tc.upf
Ir 192.22 Ir.upf
ATOMIC_POSITIONS crystal
Zn 0.000 0.000 0.000
Tc 0.333 0.667 0.500
Ir 0.667 0.333 0.000
CELL_PARAMETERS angstrom
4.288 0.000 0.000
-2.144 3.713 0.000
0.000 0.000 2.707
```


No. 10
VASP calculation (GGA-PBE) on an optimized crystal structure of ZnTcIr2. Values from VASP.

Computed properties:
The value obtained for the formation energy is -129 meV/atom. As for the space-group type: Pmmm (47).

The structure in Quantum ESPRESSO input format:
```
&SYSTEM
  ibrav = 0, nat = 4, ntyp = 3
/
ATOMIC_SPECIES
Zn 65.41 Zn.upf
Tc 98.00 Tc.upf
Ir 192.22 Ir.upf
ATOMIC_POSITIONS crystal
Zn 0.000 0.000 0.000
Tc 0.000 0.000 0.500
Ir 0.500 0.500 0.250
Ir 0.500 0.500 0.750
CELL_PARAMETERS angstrom
2.771 0.000 0.000
0.000 3.778 0.000
0.000 0.000 5.482
```


No. 11
VASP calculation (GGA-PBE) on an optimized crystal structure of Zn2TcIr. Values from VASP.

Computed properties:
The value obtained for the formation energy is 148 meV/atom. As for the space-group type: Cmmm (65). The value obtained for the energy above the most stable polymorph in this dataset is 276.2 meV per atom.

The structure in Quantum ESPRESSO input format:
```
&SYSTEM
  ibrav = 0, nat = 4, ntyp = 3
/
ATOMIC_SPECIES
Zn 65.41 Zn.upf
Tc 98.00 Tc.upf
Ir 192.22 Ir.upf
ATOMIC_POSITIONS crystal
Zn 0.000 0.500 0.000
Zn 0.500 0.000 0.000
Tc 0.000 0.000 0.500
Ir 0.500 0.500 0.500
CELL_PARAMETERS angstrom
2.659 -3.973 0.000
2.659 3.973 0.000
0.000 0.000 2.730
```


No. 12
VASP calculation (GGA-PBE) on an optimized crystal structure of Zn2TcIr. Values from VASP.

Computed properties:
The value obtained for the formation energy is 63 meV/atom. As for the space-group type: Cmmm (65). The value obtained for the energy above the most stable polymorph in this dataset is 190.9 meV per atom.

The structure in Quantum ESPRESSO input format:
```
&SYSTEM
  ibrav = 0, nat = 4, ntyp = 3
/
ATOMIC_SPECIES
Zn 65.41 Zn.upf
Tc 98.00 Tc.upf
Ir 192.22 Ir.upf
ATOMIC_POSITIONS crystal
Zn 0.000 0.000 0.247
Zn 0.000 0.000 0.753
Tc 0.500 0.500 0.500
Ir 0.500 0.500 0.000
CELL_PARAMETERS angstrom
1.459 -2.278 0.000
1.459 2.278 0.000
0.000 0.000 8.713
```


Please write out number 3 again, unchanged.
VASP calculation (GGA-PBE) on an optimized crystal structure of Zn2TcIr. Values from VASP.

Computed properties:
The value obtained for the formation energy is 100 meV/atom. As for the space-group type: Fm-3m (225). The value obtained for the energy above the most stable polymorph in this dataset is 227.9 meV per atom.

The structure in Quantum ESPRESSO input format:
```
&SYSTEM
  ibrav = 0, nat = 4, ntyp = 3
/
ATOMIC_SPECIES
Zn 65.41 Zn.upf
Tc 98.00 Tc.upf
Ir 192.22 Ir.upf
ATOMIC_POSITIONS crystal
Zn 0.250 0.250 0.250
Zn 0.750 0.750 0.750
Tc 0.000 0.000 0.000
Ir 0.500 0.500 0.500
CELL_PARAMETERS angstrom
0.000 3.057 3.057
3.057 0.000 3.057
3.057 3.057 0.000
```